P:
A relaxed MgFeCu crystal. Source: Alexandria via LeMat-Bulk, functional PBE-GGA.

a b c (Å): 5.854 5.854 5.854
angles (deg): 90.00 90.00 90.00
Space group F-43m (No. 216)
One atom of each set of equivalent atoms:
Mg (0.000, 0.000, 0.000) (multiplicity 4)
Fe (0.000, 0.000, 0.500) (multiplicity 4)
Cu (0.250, 0.250, 0.750) (multiplicity 4)

Properties
N(E_F) = 0.661 states/eV/atom



Q:
A relaxed MgFeCu crystal. Source: Alexandria via LeMat-Bulk, functional PBE-GGA.

a b c (Å): 4.2810 4.2810 2.6670
angles (deg): 90.00 90.00 120.00
Space group P3m1 (No. 156)
One atom of each set of equivalent atoms:
Mg (0.0000, 0.0000, 0.0000) (multiplicity 1)
Fe (0.6667, 0.3333, 0.5941) (multiplicity 1)
Cu (0.3333, 0.6667, 0.3683) (multiplicity 1)

Properties
N(E_F) = 0.927 states/eV/atom



Of them, Q has the highest stability.